# GGA+U In2MoO, optimized geometry
data_In2MoO
_chemical_formula_sum 'In8 Mo4 O4'
_cell_length_a 6.913
_cell_length_b 6.913
_cell_length_c 6.815
_cell_angle_alpha 90.00
_cell_angle_beta 90.00
_cell_angle_gamma 90.00
_space_group_name_H-M_alt 'I -4 2 d'
_space_group_IT_number 122
_space_group_name_Hall 'I -4 2bw'
loop_
_atom_site_label
_atom_site_type_symbol
_atom_site_fract_x
_atom_site_fract_y
_atom_site_fract_z
In1 In 0.176 0.250 0.125
Mo1 Mo 0.000 0.000 0.500
O1 O 0.000 0.000 0.000
# energy	-4.355	eV/atom
# energy above the most stable polymorph in this dataset	0.0	kJ per mole of atoms